This record from the Alexandria database describes an optimized crystal structure of PSeCl2. The functional is PBE-GGA.

```
PSeCl2
1.0
-4.2374 7.6617 5.7629
-2.7530 6.1450 8.0330
-1.2415 8.2608 6.3313
Se Cl P
1 2 1
Direct
0.5000 0.5000 0.5000
0.0684 0.0684 0.0684
0.9316 0.9316 0.9316
0.0000 0.0000 0.0000
```

**Total moment**: 0.00 μB/atom
**Energy relative to the elements, uncorrected**: 0.345 eV per atom
**ΔE to the lowest computed polymorph**: 560.2 meV/atom